[1]
DFT (PBE-GGA) results for a relaxed structure of K4PmSb3O12.

a = 8.371 Å, b = 8.371 Å, c = 8.371 Å
α = 90.00°, β = 90.00°, γ = 90.00°
Space group Im-3m (No. 229)
Symmetry-distinct sites (fractional):
K 0.250 0.250 0.250 (multiplicity 8)
Pm 0.000 0.000 0.000 (multiplicity 2)
Sb 0.000 0.000 0.500 (multiplicity 6)
O 0.000 0.000 0.271 (multiplicity 12)
O 0.000 0.250 0.500 (multiplicity 12)

Computed properties:
**Uncorrected formation energy**: -1.6501 eV/atom
**V**: 586.56 Å³/cell

[2]
DFT (PBE-GGA) results for a relaxed structure of KPm2SbO6.

a = 5.9481 Å, b = 5.9481 Å, c = 15.8635 Å
α = 90.00°, β = 90.00°, γ = 120.00°
Space group R3 (No. 146, hexagonal axes)
Symmetry-distinct sites (fractional):
K 0.0000 0.0000 0.0000 (multiplicity 3)
Pm 0.0000 0.0000 0.2249 (multiplicity 3)
Pm 0.0000 0.0000 0.7379 (multiplicity 3)
Sb 0.0000 0.0000 0.5343 (multiplicity 3)
O 0.0387 0.3701 0.1369 (multiplicity 9)
O 0.1029 0.7180 0.2856 (multiplicity 9)

Computed properties:
**Uncorrected formation energy**: -2.4726 eV/atom
**V**: 486.05 Å³/cell

[3]
DFT (PBE-GGA) results for a relaxed structure of K4Pm3ScO8.

a = 7.0493 Å, b = 7.0493 Å, c = 18.8166 Å
α = 90.00°, β = 90.00°, γ = 120.00°
Space group R-3m (No. 166, hexagonal axes)
Symmetry-distinct sites (fractional):
K 0.0000 0.0000 0.0000 (multiplicity 3)
K 0.0000 0.5000 0.0000 (multiplicity 9)
Pm 0.0000 0.5000 0.5000 (multiplicity 9)
Sc 0.0000 0.0000 0.5000 (multiplicity 3)
O 0.0000 0.0000 0.2307 (multiplicity 6)
O 0.0188 0.5094 0.2282 (multiplicity 18)

Computed properties:
**Uncorrected formation energy**: -2.6404 eV/atom
**V**: 809.77 Å³/cell

[4]
DFT (PBE-GGA) results for a relaxed structure of K3Pm3ScO8.

a = 7.0531 Å, b = 7.0531 Å, c = 18.9259 Å
α = 90.00°, β = 90.00°, γ = 120.00°
Space group R-3m (No. 166, hexagonal axes)
Symmetry-distinct sites (fractional):
K 0.0000 0.5000 0.0000 (multiplicity 9)
Pm 0.0000 0.5000 0.5000 (multiplicity 9)
Sc 0.0000 0.0000 0.5000 (multiplicity 3)
O 0.0000 0.0000 0.2298 (multiplicity 6)
O 0.0258 0.5129 0.2250 (multiplicity 18)

Computed properties:
**Uncorrected formation energy**: -2.6350 eV/atom
**V**: 815.42 Å³/cell